DyTmNO after structural relaxation. Source: OQMD, functional PBE.

Properties
V in Å³/f.u.: 64
Excess energy over the best structure of this formula in the dataset in meV/atom: 114.5
VASP energy in eV/atom: -7.82

```
16
Lattice="8.0683 0.0000 0.0000 0.0000 6.5954 0.0000 0.0000 0.0000 4.8383" Properties=species:S:1:pos:R:3 pbc="T T T"
Dy 1.0352 0.5421 1.2096
Dy 1.0352 2.7557 3.6287
Dy 7.0331 3.8398 1.2096
Dy 7.0331 6.0534 3.6287
Tm 3.0560 3.7585 1.2096
Tm 3.0560 6.1347 3.6287
Tm 5.0123 0.4608 1.2096
Tm 5.0123 2.8370 3.6287
N 1.0356 0.4335 3.6287
N 1.0356 2.8642 1.2096
N 7.0327 3.7312 3.6287
N 7.0327 6.1619 1.2096
O 3.0082 3.9325 3.6287
O 3.0082 5.9607 1.2096
O 5.0602 0.6348 3.6287
O 5.0602 2.6629 1.2096
```